VASP calculation (PBE) on a relaxed In12Au3F5 crystal.

abc: 13.741 13.741 13.741
angles: 109.47 109.47 109.47
Element x y z (fractional)
In: 0.041 0.220 0.125
In: 0.041 0.321 0.916
In: 0.084 0.625 0.405
In: 0.084 0.959 0.679
In: 0.095 0.720 0.679
In: 0.095 0.875 0.416
In: 0.125 0.041 0.220
In: 0.125 0.584 0.905
In: 0.179 0.220 0.595
In: 0.179 0.459 0.584
In: 0.220 0.125 0.041
In: 0.220 0.595 0.179
In: 0.280 0.321 0.905
In: 0.280 0.459 0.375
In: 0.321 0.905 0.280
In: 0.321 0.916 0.041
In: 0.375 0.280 0.459
In: 0.375 0.595 0.916
In: 0.405 0.084 0.625
In: 0.405 0.821 0.780
In: 0.416 0.095 0.875
In: 0.416 0.821 0.541
In: 0.459 0.375 0.280
In: 0.459 0.584 0.179
In: 0.541 0.416 0.821
In: 0.541 0.625 0.720
In: 0.584 0.179 0.459
In: 0.584 0.905 0.125
In: 0.595 0.179 0.220
In: 0.595 0.916 0.375
In: 0.625 0.405 0.084
In: 0.625 0.720 0.541
In: 0.679 0.084 0.959
In: 0.679 0.095 0.720
In: 0.720 0.541 0.625
In: 0.720 0.679 0.095
In: 0.780 0.405 0.821
In: 0.780 0.875 0.959
In: 0.821 0.541 0.416
In: 0.821 0.780 0.405
In: 0.875 0.416 0.095
In: 0.875 0.959 0.780
In: 0.905 0.125 0.584
In: 0.905 0.280 0.321
In: 0.916 0.041 0.321
In: 0.916 0.375 0.595
In: 0.959 0.679 0.084
In: 0.959 0.780 0.875
Au: 0.125 0.250 0.375
Au: 0.125 0.375 0.750
Au: 0.250 0.375 0.125
Au: 0.250 0.875 0.625
Au: 0.375 0.125 0.250
Au: 0.375 0.750 0.125
Au: 0.625 0.250 0.875
Au: 0.625 0.875 0.750
Au: 0.750 0.125 0.375
Au: 0.750 0.625 0.875
Au: 0.875 0.625 0.250
Au: 0.875 0.750 0.625
F: 0.000 0.000 0.000
F: 0.000 0.000 0.500
F: 0.000 0.500 0.000
F: 0.000 0.500 0.500
F: 0.125 0.750 0.875
F: 0.125 0.875 0.250
F: 0.250 0.125 0.875
F: 0.250 0.625 0.375
F: 0.375 0.250 0.625
F: 0.375 0.625 0.750
F: 0.500 0.000 0.000
F: 0.500 0.000 0.500
F: 0.500 0.500 0.000
F: 0.500 0.500 0.500
F: 0.625 0.375 0.250
F: 0.625 0.750 0.375
F: 0.750 0.375 0.625
F: 0.750 0.875 0.125
F: 0.875 0.125 0.750
F: 0.875 0.250 0.125

Output
* V: 24.96 Å³/atom
* M_tot: 0.000 μB/atom
* energy relative to the elements, uncorrected: -0.72 eV/atom
* space group: No. 230